[1]
CePm8Sb6: relaxed, PBE-GGA.

Unit cell a=8.2961 b=8.2961 c=9.6288 alpha=64.48 beta=64.48 gamma=60.00
Last column: magnetic moment on the atom in μB.
Fractional positions:
Ce 0.0000 0.0000 0.0000  0.89
Pm 0.5460 0.2112 0.3644  0.05
Pm 0.7888 0.1217 0.6356  0.05
Pm 0.1217 0.4540 0.6356  0.05
Pm 0.6667 0.6667 0.9999  0.01
Pm 0.3333 0.3333 0.0001  0.01
Pm 0.8783 0.5460 0.3644  0.05
Pm 0.2112 0.8783 0.3644  0.05
Pm 0.4540 0.7888 0.6356  0.05
Sb 0.4027 0.0681 0.7957  -0.01
Sb 0.9319 0.2664 0.2043  -0.01
Sb 0.2664 0.5973 0.2043  -0.01
Sb 0.7336 0.4027 0.7957  -0.01
Sb 0.0681 0.7336 0.7957  -0.01
Sb 0.5973 0.9319 0.2043  -0.01

Output
Space group: R-3
D(E_F) in states/eV per cell: 23.49
Total magnetization in μB/f.u.: 1.57
Raw formation energy in eV/atom: -0.8011

[2]
Ce4PmSb5: relaxed, PBE-GGA.

Unit cell a=4.4929 b=6.3647 c=11.9220 alpha=105.48 beta=100.86 gamma=90.00
Last column: magnetic moment on the atom in μB.
Fractional positions:
Ce 0.4003 0.4003 0.8007  0.77
Ce 0.8003 0.8003 0.6007  0.78
Ce 0.1997 0.1997 0.3993  0.78
Ce 0.5997 0.5997 0.1993  0.77
Pm 0.0000 0.0000 0.0000  0.01
Sb 0.6003 0.1003 0.2006  -0.02
Sb 0.8002 0.3002 0.6003  -0.03
Sb 0.1998 0.6998 0.3997  -0.03
Sb 0.0000 0.5000 0.0000  -0.02
Sb 0.3997 0.8997 0.7994  -0.02

Output
Space group: Immm
D(E_F) in states/eV per cell: 27.29
Total magnetization in μB/f.u.: 3.41
Raw formation energy in eV/atom: -1.0710

[3]
CePm2Sb: relaxed, PBE-GGA.

Unit cell a=4.0315 b=4.0315 c=7.3272 alpha=90.00 beta=90.00 gamma=90.00
Last column: magnetic moment on the atom in μB.
Fractional positions:
Sb 0.5000 0.5000 0.5000  0.00
Ce 0.5000 0.5000 0.0000  0.47
Pm 0.0000 0.0000 0.7236  -0.01
Pm 0.0000 0.0000 0.2764  -0.01

Output
Space group: P4/mmm
D(E_F) in states/eV per cell: 7.07
Total magnetization in μB/f.u.: 0.53
Raw formation energy in eV/atom: -0.4592

[4]
CePmSb: relaxed, PBE-GGA.

Unit cell a=6.2311 b=10.1280 c=7.8969 alpha=131.30 beta=90.00 gamma=90.00
Last column: magnetic moment on the atom in μB.
Fractional positions:
Sb 0.3787 0.3294 0.6752  -0.02
Sb 0.8787 0.6706 0.8248  -0.02
Sb 0.6213 0.6706 0.3248  -0.02
Sb 0.1213 0.3294 0.1752  -0.02
Pm 0.3804 0.0455 0.7310  0.03
Pm 0.8804 0.9545 0.7690  0.03
Pm 0.6196 0.9545 0.2690  0.03
Pm 0.1196 0.0455 0.2310  0.03
Ce 0.3623 0.6375 0.6614  0.83
Ce 0.8623 0.3625 0.8386  0.83
Ce 0.6377 0.3625 0.3386  0.83
Ce 0.1377 0.6375 0.1614  0.83

Output
Space group: P2_1/c
D(E_F) in states/eV per cell: 23.16
Total magnetization in μB/f.u.: 1.03
Raw formation energy in eV/atom: -0.6125

[5]
CePm4Sb5: relaxed, PBE-GGA.

Unit cell a=4.4971 b=4.4971 c=16.1876 alpha=97.98 beta=97.98 gamma=90.00
Last column: magnetic moment on the atom in μB.
Fractional positions:
Ce 0.0000 0.0000 0.0000  0.72
Pm 0.3992 0.3992 0.7984  0.00
Pm 0.7999 0.7999 0.5997  0.00
Pm 0.2001 0.2001 0.4003  0.00
Pm 0.6008 0.6008 0.2016  0.00
Sb 0.0996 0.0996 0.1992  -0.01
Sb 0.5000 0.5000 0.0000  -0.02
Sb 0.9004 0.9004 0.8008  -0.01
Sb 0.2999 0.2999 0.5999  0.00
Sb 0.7001 0.7001 0.4001  0.00

Output
Space group: I4/mmm
D(E_F) in states/eV per cell: 7.64
Total magnetization in μB/f.u.: 0.78
Raw formation energy in eV/atom: -1.1605

[6]
Ce5PmSb4: relaxed, PBE-GGA.

Unit cell a=4.6742 b=8.1685 c=9.8153 alpha=123.31 beta=103.77 gamma=90.00
Last column: magnetic moment on the atom in μB.
Fractional positions:
Ce 0.7139 0.5764 0.4279  0.98
Ce 0.8696 0.1913 0.7393  0.93
Ce 0.1304 0.8087 0.2607  0.93
Ce 0.5000 0.5000 0.0000  1.10
Ce 0.2861 0.4236 0.5721  0.98
Pm 0.5000 0.0000 0.0000  0.02
Sb 0.3133 0.8840 0.6266  -0.03
Sb 0.9296 0.6599 0.8591  -0.03
Sb 0.6867 0.1160 0.3734  -0.03
Sb 0.0704 0.3401 0.1409  -0.03

Output
Space group: C2/m
D(E_F) in states/eV per cell: 28.24
Total magnetization in μB/f.u.: 6.39
Raw formation energy in eV/atom: -0.8055

Among the records above, which one has the lowest D(E_F)?
CePm2Sb

What is the formula in the first record?
CePm8Sb6